Entry 1:
Hf4In3W2N3 | PBE-GGA | optimized geometry

total energy: -8.86 eV per atom
crystal system: monoclinic
V: 16.0 Å³ per atom
magnetic moment: 0.003 μB/f.u.

Geometry as CIF:
```
data_Hf4In3W2N3
_cell_length_a 5.5363
_cell_length_b 5.5363
_cell_length_c 14.7739
_cell_angle_alpha 100.34
_cell_angle_beta 100.34
_cell_angle_gamma 60.33
_symmetry_space_group_name_H-M 'P 1'
_symmetry_Int_Tables_number 1
loop_
_symmetry_equiv_pos_as_xyz
'x,y,z'
loop_
_atom_site_label
_atom_site_fract_x
_atom_site_fract_y
_atom_site_fract_z
N1 0.1462 0.6771 0.9998
N2 0.0000 0.5000 0.5000
In1 0.8968 0.1032 0.2500
Hf1 0.9825 0.7953 0.4150
N3 0.6771 0.1462 0.4998
In2 0.2651 0.4172 0.2470
N4 0.5000 0.0000 0.0000
Hf2 0.1509 0.3042 0.9153
W1 0.3844 0.5251 0.5809
Hf3 0.2047 0.0175 0.0850
In3 0.4172 0.2651 0.7470
Hf4 0.7953 0.9825 0.9150
Hf5 0.6958 0.8491 0.5847
N5 0.8538 0.3229 0.0002
In4 0.5828 0.7349 0.2530
N6 0.3229 0.8538 0.5002
W2 0.6156 0.4749 0.4191
In5 0.1032 0.8968 0.7500
Hf6 0.3042 0.1509 0.4153
W3 0.5251 0.3844 0.0809
In6 0.7349 0.5828 0.7530
Hf7 0.8491 0.6958 0.0847
W4 0.4749 0.6156 0.9191
Hf8 0.0175 0.2047 0.5850
```

Entry 2:
InSnAuSe3 | PBE-GGA | optimized geometry

total energy: -3.78 eV per atom
crystal system: orthorhombic
V: 26.1 Å³ per atom
energy relative to the lowest polymorph listed for this composition: 0.0 meV/atom

Geometry as CIF:
```
data_InSnAuSe3
_cell_length_a 7.4628
_cell_length_b 7.4628
_cell_length_c 10.8215
_cell_angle_alpha 90.00
_cell_angle_beta 90.00
_cell_angle_gamma 148.67
_symmetry_space_group_name_H-M 'P 1'
_symmetry_Int_Tables_number 1
loop_
_symmetry_equiv_pos_as_xyz
'x,y,z'
loop_
_atom_site_label
_atom_site_fract_x
_atom_site_fract_y
_atom_site_fract_z
Se1 0.0529 0.9471 0.7500
Sn1 0.3102 0.6898 0.2500
Se2 0.6314 0.3686 0.4767
Se3 0.6314 0.3686 0.0233
Se4 0.3686 0.6314 0.5233
In1 0.0000 0.0000 0.0000
Au1 0.3400 0.6600 0.7500
Se5 0.3686 0.6314 0.9767
Se6 0.9471 0.0529 0.2500
Au2 0.6600 0.3400 0.2500
In2 0.0000 0.0000 0.5000
Sn2 0.6898 0.3102 0.7500
```

Entry 3:
KHfGa | PBE-GGA | optimized geometry

total energy: -3.79 eV per atom
crystal system: cubic
V: 29.0 Å³ per atom
energy relative to the lowest polymorph listed for this composition: 0.0 meV/atom
magnetic moment: 0.248 μB/f.u.

Geometry as CIF:
```
data_KHfGa
_cell_length_a 4.9761
_cell_length_b 4.9761
_cell_length_c 4.9761
_cell_angle_alpha 60.00
_cell_angle_beta 60.00
_cell_angle_gamma 60.00
_symmetry_space_group_name_H-M 'P 1'
_symmetry_Int_Tables_number 1
loop_
_symmetry_equiv_pos_as_xyz
'x,y,z'
loop_
_atom_site_label
_atom_site_fract_x
_atom_site_fract_y
_atom_site_fract_z
K1 0.7500 0.7500 0.7500
Hf1 0.2500 0.2500 0.2500
Ga1 0.0000 0.0000 0.0000
```

The lowest total energy belongs to which entry?
Hf4In3W2N3

Among the records above, which one has the lowest V?
Hf4In3W2N3

Among the records above, which one has the highest V?
KHfGa